Rb2BaNiF: optimized geometry, PBE with a Hubbard U.

The density of states at the Fermi level is 1.061 states/eV/atom. As for the final energy: -6.6 eV for the cell shown. The total moment comes out at 1.010 μB per formula unit. Its mass density is 2.32 g/cm³.

The structure belongs to space group P4/mmm (No. 123); the cell edges are 7.480, 7.480 and 4.933 Å and the angles 90.00°, 90.00° and 90.00°. Symmetry generates all atoms from Rb at (0.000, 0.500, 0.000), Ba at (0.000, 0.000, 0.000), Ni at (0.000, 0.000, 0.500) and F at (0.500, 0.500, 0.500).